[1]
# Sm2DyGa6, optimized geometry, DFT PBE
# N(E_F) (states/eV/f.u.): 5.2
# ΔE to the lowest computed polymorph (meV per atom): 220.3
# Total magnetic moment (μB/f.u.): 0.000
# Energy of formation (kJ per mole of atoms): -42.7
data_Sm2DyGa6
_chemical_formula_sum 'Sm2 Dy1 Ga6'
_cell_length_a 7.921
_cell_length_b 7.921
_cell_length_c 7.921
_cell_angle_alpha 148.04
_cell_angle_beta 127.07
_cell_angle_gamma 63.18
_symmetry_space_group_name_H-M 'P 1'
_symmetry_Int_Tables_number 1
_symmetry_space_group_name_Hall 'P 1'
loop_
_atom_site_label
_atom_site_fract_x
_atom_site_fract_y
_atom_site_fract_z
Sm1 0.128 0.128 0.000
Sm2 0.872 0.872 0.000
Dy1 0.500 0.000 0.500
Ga1 0.130 0.320 0.811
Ga2 0.191 0.500 0.691
Ga3 0.491 0.680 0.811
Ga4 0.509 0.320 0.189
Ga5 0.809 0.500 0.309
Ga6 0.870 0.680 0.189

[2]
# Sm2DyGa3, optimized geometry, DFT PBE
# N(E_F) (states/eV/f.u.): 2.4
# ΔE to the lowest computed polymorph (meV per atom): 0.0
# Total magnetic moment (μB/f.u.): 0.000
# Energy of formation (kJ per mole of atoms): -55.4
data_Sm2DyGa3
_chemical_formula_sum 'Sm4 Dy2 Ga6'
_cell_length_a 5.118
_cell_length_b 5.118
_cell_length_c 12.589
_cell_angle_alpha 90.00
_cell_angle_beta 90.00
_cell_angle_gamma 120.00
_symmetry_space_group_name_H-M 'P 1'
_symmetry_Int_Tables_number 1
_symmetry_space_group_name_Hall 'P 1'
loop_
_atom_site_label
_atom_site_fract_x
_atom_site_fract_y
_atom_site_fract_z
Sm1 0.000 0.000 0.000
Sm2 0.000 0.000 0.500
Sm3 0.333 0.667 0.169
Sm4 0.667 0.333 0.831
Dy1 0.333 0.667 0.667
Dy2 0.667 0.333 0.333
Ga1 0.000 0.000 0.252
Ga2 0.000 0.000 0.748
Ga3 0.333 0.667 0.418
Ga4 0.333 0.667 0.915
Ga5 0.667 0.333 0.085
Ga6 0.667 0.333 0.582

[3]
# SmDy2Ga, optimized geometry, DFT PBE
# N(E_F) (states/eV/f.u.): 3.5
# ΔE to the lowest computed polymorph (meV per atom): 0.0
# Total magnetic moment (μB/f.u.): 0.000
# Energy of formation (kJ per mole of atoms): -27.2
data_SmDy2Ga
_chemical_formula_sum 'Sm1 Dy2 Ga1'
_cell_length_a 3.531
_cell_length_b 3.531
_cell_length_c 8.941
_cell_angle_alpha 90.00
_cell_angle_beta 90.00
_cell_angle_gamma 90.00
_symmetry_space_group_name_H-M 'P 1'
_symmetry_Int_Tables_number 1
_symmetry_space_group_name_Hall 'P 1'
loop_
_atom_site_label
_atom_site_fract_x
_atom_site_fract_y
_atom_site_fract_z
Sm1 0.000 0.000 0.000
Dy1 0.500 0.500 0.293
Dy2 0.500 0.500 0.707
Ga1 0.000 0.000 0.500

[4]
# Sm2DyGa, optimized geometry, DFT PBE
# N(E_F) (states/eV/f.u.): 6.4
# ΔE to the lowest computed polymorph (meV per atom): 28.8
# Total magnetic moment (μB/f.u.): 0.002
# Energy of formation (kJ per mole of atoms): -22.5
data_Sm2DyGa
_chemical_formula_sum 'Sm2 Dy1 Ga1'
_cell_length_a 4.769
_cell_length_b 4.769
_cell_length_c 4.805
_cell_angle_alpha 90.00
_cell_angle_beta 90.00
_cell_angle_gamma 90.00
_symmetry_space_group_name_H-M 'P 1'
_symmetry_Int_Tables_number 1
_symmetry_space_group_name_Hall 'P 1'
loop_
_atom_site_label
_atom_site_fract_x
_atom_site_fract_y
_atom_site_fract_z
Sm1 0.000 0.500 0.000
Sm2 0.500 0.000 0.000
Dy1 0.000 0.000 0.500
Ga1 0.500 0.500 0.500

[5]
# SmDy3Ga4, optimized geometry, DFT PBE
# N(E_F) (states/eV/f.u.): 4.6
# ΔE to the lowest computed polymorph (meV per atom): 125.5
# Total magnetic moment (μB/f.u.): 0.000
# Energy of formation (kJ per mole of atoms): -43.8
data_SmDy3Ga4
_chemical_formula_sum 'Sm1 Dy3 Ga4'
_cell_length_a 9.187
_cell_length_b 9.187
_cell_length_c 9.187
_cell_angle_alpha 157.62
_cell_angle_beta 136.53
_cell_angle_gamma 49.43
_symmetry_space_group_name_H-M 'P 1'
_symmetry_Int_Tables_number 1
_symmetry_space_group_name_Hall 'P 1'
loop_
_atom_site_label
_atom_site_fract_x
_atom_site_fract_y
_atom_site_fract_z
Sm1 0.000 0.000 0.000
Dy1 0.202 0.702 0.500
Dy2 0.500 0.500 0.000
Dy3 0.798 0.298 0.500
Ga1 0.178 0.869 0.309
Ga2 0.440 0.131 0.309
Ga3 0.560 0.869 0.691
Ga4 0.822 0.131 0.691

[6]
# Sm7DyGa4, optimized geometry, DFT PBE
# N(E_F) (states/eV/f.u.): 12.8
# Total magnetic moment (μB/f.u.): 0.000
# Energy of formation (kJ per mole of atoms): -19.2
data_Sm7DyGa4
_chemical_formula_sum 'Sm7 Dy1 Ga4'
_cell_length_a 7.451
_cell_length_b 7.451
_cell_length_c 10.464
_cell_angle_alpha 121.32
_cell_angle_beta 121.32
_cell_angle_gamma 43.94
_symmetry_space_group_name_H-M 'P 1'
_symmetry_Int_Tables_number 1
_symmetry_space_group_name_Hall 'P 1'
loop_
_atom_site_label
_atom_site_fract_x
_atom_site_fract_y
_atom_site_fract_z
Sm1 0.000 0.000 0.000
Sm2 0.205 0.205 0.645
Sm3 0.293 0.293 0.120
Sm4 0.435 0.435 0.613
Sm5 0.565 0.565 0.387
Sm6 0.707 0.707 0.880
Sm7 0.795 0.795 0.355
Dy1 0.500 0.500 0.000
Ga1 0.054 0.054 0.759
Ga2 0.179 0.179 0.331
Ga3 0.821 0.821 0.669
Ga4 0.946 0.946 0.241

[7]
# Sm2DyGa6, optimized geometry, DFT PBE
# N(E_F) (states/eV/f.u.): 5.7
# ΔE to the lowest computed polymorph (meV per atom): 0.0
# Total magnetic moment (μB/f.u.): 0.000
# Energy of formation (kJ per mole of atoms): -63.9
data_Sm2DyGa6
_chemical_formula_sum 'Sm2 Dy1 Ga6'
_cell_length_a 7.337
_cell_length_b 7.337
_cell_length_c 4.196
_cell_angle_alpha 90.00
_cell_angle_beta 90.00
_cell_angle_gamma 120.00
_symmetry_space_group_name_H-M 'P 1'
_symmetry_Int_Tables_number 1
_symmetry_space_group_name_Hall 'P 1'
loop_
_atom_site_label
_atom_site_fract_x
_atom_site_fract_y
_atom_site_fract_z
Sm1 0.333 0.667 0.000
Sm2 0.667 0.333 0.000
Dy1 0.000 0.000 0.000
Ga1 0.000 0.332 0.500
Ga2 0.000 0.668 0.500
Ga3 0.332 0.000 0.500
Ga4 0.332 0.332 0.500
Ga5 0.668 0.000 0.500
Ga6 0.668 0.668 0.500

[8]
# SmDy3Ga3, optimized geometry, DFT PBE
# N(E_F) (states/eV/f.u.): 4.8
# Total magnetic moment (μB/f.u.): 0.000
# Energy of formation (kJ per mole of atoms): -42.1
data_SmDy3Ga3
_chemical_formula_sum 'Sm2 Dy6 Ga6'
_cell_length_a 9.205
_cell_length_b 9.205
_cell_length_c 4.790
_cell_angle_alpha 90.00
_cell_angle_beta 90.00
_cell_angle_gamma 120.00
_symmetry_space_group_name_H-M 'P 1'
_symmetry_Int_Tables_number 1
_symmetry_space_group_name_Hall 'P 1'
loop_
_atom_site_label
_atom_site_fract_x
_atom_site_fract_y
_atom_site_fract_z
Sm1 0.333 0.667 0.250
Sm2 0.667 0.333 0.750
Dy1 0.017 0.256 0.750
Dy2 0.239 0.983 0.750
Dy3 0.256 0.239 0.250
Dy4 0.744 0.761 0.750
Dy5 0.761 0.017 0.250
Dy6 0.983 0.744 0.250
Ga1 0.058 0.608 0.750
Ga2 0.392 0.450 0.750
Ga3 0.450 0.058 0.250
Ga4 0.550 0.942 0.750
Ga5 0.608 0.550 0.250
Ga6 0.942 0.392 0.250

[9]
# Sm2Dy2Ga4Sn, optimized geometry, DFT PBE
# N(E_F) (states/eV/f.u.): 6.0
# Total magnetic moment (μB/f.u.): 0.000
# Energy of formation (kJ per mole of atoms): -16.1
data_Sm2Dy2Ga4Sn
_chemical_formula_sum 'Sm2 Dy2 Ga4 Sn1'
_cell_length_a 6.877
_cell_length_b 6.877
_cell_length_c 6.877
_cell_angle_alpha 117.62
_cell_angle_beta 117.62
_cell_angle_gamma 94.18
_symmetry_space_group_name_H-M 'P 1'
_symmetry_Int_Tables_number 1
_symmetry_space_group_name_Hall 'P 1'
loop_
_atom_site_label
_atom_site_fract_x
_atom_site_fract_y
_atom_site_fract_z
Sm1 0.191 0.191 0.000
Sm2 0.809 0.809 0.000
Dy1 0.250 0.750 0.500
Dy2 0.750 0.250 0.500
Ga1 0.237 0.237 0.474
Ga2 0.237 0.763 0.000
Ga3 0.763 0.237 0.000
Ga4 0.763 0.763 0.526
Sn1 0.500 0.500 0.000

[10]
# SmDyTlGa, optimized geometry, DFT PBE
# N(E_F) (states/eV/f.u.): 2.0
# ΔE to the lowest computed polymorph (meV per atom): 29.7
# Total magnetic moment (μB/f.u.): 0.000
# Energy of formation (kJ per mole of atoms): -42.0
data_SmDyTlGa
_chemical_formula_sum 'Sm1 Dy1 Tl1 Ga1'
_cell_length_a 5.274
_cell_length_b 5.274
_cell_length_c 5.274
_cell_angle_alpha 60.00
_cell_angle_beta 60.00
_cell_angle_gamma 60.00
_symmetry_space_group_name_H-M 'P 1'
_symmetry_Int_Tables_number 1
_symmetry_space_group_name_Hall 'P 1'
loop_
_atom_site_label
_atom_site_fract_x
_atom_site_fract_y
_atom_site_fract_z
Sm1 0.000 0.000 0.000
Dy1 0.500 0.500 0.500
Tl1 0.250 0.250 0.250
Ga1 0.750 0.750 0.750

[11]
# SmDyTlGa, optimized geometry, DFT PBE
# N(E_F) (states/eV/f.u.): 1.8
# ΔE to the lowest computed polymorph (meV per atom): 0.0
# Total magnetic moment (μB/f.u.): 0.000
# Energy of formation (kJ per mole of atoms): -44.9
data_SmDyTlGa
_chemical_formula_sum 'Sm1 Dy1 Tl1 Ga1'
_cell_length_a 3.646
_cell_length_b 3.646
_cell_length_c 7.757
_cell_angle_alpha 90.00
_cell_angle_beta 90.00
_cell_angle_gamma 90.00
_symmetry_space_group_name_H-M 'P 1'
_symmetry_Int_Tables_number 1
_symmetry_space_group_name_Hall 'P 1'
loop_
_atom_site_label
_atom_site_fract_x
_atom_site_fract_y
_atom_site_fract_z
Sm1 0.000 0.000 0.000
Dy1 0.000 0.000 0.465
Tl1 0.500 0.500 0.725
Ga1 0.500 0.500 0.239